No. 1
{"formula": "CsLa3Rh", "functional": "PBE-GGA", "state": "relaxed", "lattice": [[5.8533, 0.0000, 0.0000], [0.0000, 5.8533, 0.0000], [0.0000, 0.0000, 5.8533]], "species": ["Cs", "La", "La", "La", "Rh"], "frac_coords": [[0.0000, 0.0000, 0.0000], [0.0000, 0.5000, 0.5000], [0.5000, 0.0000, 0.5000], [0.5000, 0.5000, 0.0000], [0.5000, 0.5000, 0.5000]], "spacegroup": "No. 221", "dos_ef_per_ev_cell": 5.41, "ef_mev_per_atom": -50}



No. 2
{"formula": "Cs2La2Rh", "functional": "PBE-GGA", "state": "relaxed", "lattice": [[7.6394, 0.0000, 0.0000], [0.0000, 7.6394, 0.0000], [0.0000, 0.0000, 7.6486]], "species": ["Cs", "Cs", "Cs", "Cs", "La", "La", "La", "La", "Rh", "Rh"], "frac_coords": [[0.2021, 0.2979, 0.0000], [0.2979, 0.7979, 0.0000], [0.7021, 0.2021, 0.0000], [0.7979, 0.7021, 0.0000], [0.1925, 0.6925, 0.5000], [0.3075, 0.1925, 0.5000], [0.6925, 0.8075, 0.5000], [0.8075, 0.3075, 0.5000], [0.0000, 0.0000, 0.5000], [0.5000, 0.5000, 0.5000]], "spacegroup": "No. 127", "dos_ef_per_ev_cell": 14.83, "ef_mev_per_atom": 69}



No. 3
{"formula": "CsLa3Rh", "functional": "PBE-GGA", "state": "relaxed", "lattice": [[5.7558, 0.0000, 0.0000], [0.0000, 5.7558, 0.0000], [0.0000, 0.0000, 5.7558]], "species": ["Cs", "La", "La", "La", "Rh"], "frac_coords": [[0.0000, 0.0000, 0.0000], [0.0000, 0.0000, 0.5000], [0.0000, 0.5000, 0.0000], [0.5000, 0.0000, 0.0000], [0.5000, 0.5000, 0.5000]], "spacegroup": "No. 221", "dos_ef_per_ev_cell": 6.00, "ef_mev_per_atom": 1358}



No. 4
{"formula": "Cs2LaRuRh", "functional": "PBE-GGA", "state": "relaxed", "lattice": [[5.7461, 0.0000, 0.0000], [0.0000, 5.7461, 0.0000], [0.0000, 0.0000, 5.3077]], "species": ["Cs", "Cs", "La", "Ru", "Rh"], "frac_coords": [[0.0000, 0.5000, 0.0000], [0.5000, 0.0000, 0.0000], [0.0000, 0.0000, 0.5000], [0.0000, 0.0000, 0.0000], [0.5000, 0.5000, 0.5000]], "spacegroup": "No. 123", "dos_ef_per_ev_cell": 4.42, "ef_mev_per_atom": 1010}



No. 5
{"formula": "CsSr2LaRh", "functional": "PBE-GGA", "state": "relaxed", "lattice": [[6.3802, 0.0000, 0.0000], [0.0000, 6.3802, 0.0000], [0.0000, 0.0000, 5.4764]], "species": ["Cs", "Sr", "Sr", "La", "Rh"], "frac_coords": [[0.0000, 0.0000, 0.0000], [0.0000, 0.5000, 0.5000], [0.5000, 0.0000, 0.5000], [0.5000, 0.5000, 0.0000], [0.5000, 0.5000, 0.5000]], "spacegroup": "No. 123", "dos_ef_per_ev_cell": 5.83, "ef_mev_per_atom": -103}



No. 6
{"formula": "CsLaTeRh2", "functional": "PBE-GGA", "state": "relaxed", "lattice": [[5.0389, 0.0000, 0.0000], [0.0000, 5.0389, 0.0000], [0.0000, 0.0000, 6.5623]], "species": ["Cs", "La", "Te", "Rh", "Rh"], "frac_coords": [[0.0000, 0.0000, 0.0000], [0.0000, 0.0000, 0.5000], [0.5000, 0.5000, 0.0000], [0.0000, 0.5000, 0.5000], [0.5000, 0.0000, 0.5000]], "spacegroup": "No. 123", "raw_formation_energy_ev_per_atom": 0.52, "dos_ef_per_ev_cell": 2.62}



No. 7
{"formula": "Cs2LaRu", "functional": "PBE-GGA", "state": "relaxed", "lattice": [[0.0000, 3.9633, 3.9633], [3.9633, 0.0000, 3.9633], [3.9633, 3.9633, 0.0000]], "species": ["Cs", "Cs", "La", "Ru"], "frac_coords": [[0.2500, 0.2500, 0.2500], [0.7500, 0.7500, 0.7500], [0.0000, 0.0000, 0.0000], [0.5000, 0.5000, 0.5000]], "spacegroup": "No. 225", "dos_ef_per_ev_cell": 3.32, "ef_mev_per_atom": 1364}



No. 8
{"formula": "CsLaRu2", "functional": "PBE-GGA", "state": "relaxed", "lattice": [[-2.5520, 2.5520, 9.6954], [2.5520, -2.5520, 9.6954], [2.5520, 2.5520, -9.6954]], "species": ["Cs", "Cs", "La", "La", "Ru", "Ru", "Ru", "Ru"], "frac_coords": [[0.0000, 0.0000, 0.0000], [0.7500, 0.2500, 0.5000], [0.2500, 0.7500, 0.5000], [0.5000, 0.5000, 0.0000], [0.3647, 0.1250, 0.7397], [0.3750, 0.6353, 0.7603], [0.3853, 0.6250, 0.2603], [0.8750, 0.6147, 0.2397]], "spacegroup": "No. 122", "dos_ef_per_ev_cell": 17.65, "ef_mev_per_atom": 945}